{"formula": "BeTe3W", "functional": "SCAN", "state": "single point on PBEsol structure", "cell": [[4.7874, 0.0000, 0.0000], [0.0000, 4.7874, 0.0000], [0.0000, 0.0000, 4.7874]], "species": ["Be", "Te", "Te", "Te", "W"], "frac_coords": [[0.0000, 0.0000, 0.0000], [0.0000, 0.5000, 0.0000], [0.0000, 0.0000, 0.5000], [0.5000, 0.0000, 0.0000], [0.5000, 0.5000, 0.5000]], "final_energy_ev_per_cell": -179.60, "e_form_raw_ev_per_atom": 1.238, "relative_energy_ev_per_fu": 0.40, "space_group": "Pm-3m, No. 221", "magmom_total_mub_per_fu": 2.85, "vol_a3_per_atom": 21.945}



{"formula": "BaRu3", "functional": "SCAN", "state": "single point on PBEsol structure", "cell": [[-3.6467, 1.8351, 1.3312], [0.1815, -1.8487, -3.8797], [-0.5792, -4.3737, 4.4428]], "species": ["Ba", "Ru", "Ru", "Ru"], "frac_coords": [[0.0000, 0.0000, 0.0000], [0.5000, 0.0000, 0.5000], [0.1876, 0.3752, 0.5619], [0.8124, 0.6248, 0.4381]], "final_energy_ev_per_cell": -142.48, "space_group": "C2/m, No. 12", "magmom_total_mub_per_fu": 0.00, "vol_a3_per_atom": 22.998, "e_form_ev_per_atom": 0.387}



{"formula": "SrSi2PbF", "functional": "SCAN", "state": "single point on PBEsol structure", "cell": [[-1.1858, 3.8984, 1.3612], [-5.1066, -2.1315, 1.6560], [2.1781, -1.1609, 5.2222]], "species": ["Pb", "Sr", "Si", "Si", "F"], "frac_coords": [[0.5000, 0.5000, 0.5000], [0.0000, 0.0000, 0.0000], [0.0000, 0.0000, 0.5000], [0.0000, 0.5000, 0.0000], [0.5000, 0.0000, 0.0000]], "final_energy_ev_per_cell": -121.27, "e_form_raw_ev_per_atom": 0.071, "space_group": "P4/mmm, No. 123", "magmom_total_mub_per_fu": 0.00, "vol_a3_per_atom": 28.667}



{"formula": "BeAsP2", "functional": "SCAN", "state": "single point on PBEsol structure", "cell": [[3.0402, 0.0000, 0.0000], [0.0000, 4.3069, 0.0000], [0.0000, 0.0000, 4.3069]], "species": ["P", "P", "As", "Be"], "frac_coords": [[0.0000, 0.0000, 0.5000], [0.0000, 0.5000, 0.0000], [0.5000, 0.5000, 0.5000], [0.5000, 0.0000, 0.0000]], "final_energy_ev_per_cell": -42.43, "relative_energy_ev_per_fu": 2.51, "space_group": "P4/mmm, No. 123", "magmom_total_mub_per_fu": 0.00, "vol_a3_per_atom": 14.099, "e_form_ev_per_atom": 0.727}



{"formula": "LiYZn2", "functional": "SCAN", "state": "single point on PBEsol structure", "cell": [[-3.2012, 3.2239, -0.6530], [-1.2137, 1.1991, -4.2610], [-4.1325, -1.1647, -1.6227]], "species": ["Y", "Zn", "Zn", "Li"], "frac_coords": [[0.2500, 0.2500, 0.2500], [0.0000, 0.0000, 0.0000], [0.7500, 0.7500, 0.7500], [0.5000, 0.5000, 0.5000]], "final_energy_ev_per_cell": -58.61, "space_group": "F-43m, No. 216", "magmom_total_mub_per_fu": 0.00, "vol_a3_per_atom": 17.094, "e_form_ev_per_atom": -0.337}



{"formula": "NbSe4", "functional": "SCAN", "state": "single point on PBEsol structure", "cell": [[8.2914, 0.0000, 0.0000], [0.0000, 8.2914, 0.0000], [0.0000, 0.0000, 19.2830]], "species": ["Nb", "Nb", "Nb", "Nb", "Nb", "Nb", "Nb", "Nb", "Nb", "Nb", "Nb", "Nb", "Se", "Se", "Se", "Se", "Se", "Se", "Se", "Se", "Se", "Se", "Se", "Se", "Se", "Se", "Se", "Se", "Se", "Se", "Se", "Se", "Se", "Se", "Se", "Se", "Se", "Se", "Se", "Se", "Se", "Se", "Se", "Se", "Se", "Se", "Se", "Se", "Se", "Se", "Se", "Se", "Se", "Se", "Se", "Se", "Se", "Se", "Se", "Se"], "frac_coords": [[0.5000, 0.0000, 0.7607], [0.5000, 0.0000, 0.4159], [0.0000, 0.5000, 0.9272], [0.5000, 0.0000, 0.0728], [0.5000, 0.0000, 0.2607], [0.0000, 0.5000, 0.2393], [0.0000, 0.5000, 0.5841], [0.5000, 0.0000, 0.5728], [0.0000, 0.5000, 0.4272], [0.0000, 0.5000, 0.0841], [0.0000, 0.5000, 0.7393], [0.5000, 0.0000, 0.9159], [0.7568, 0.4010, 0.0020], [0.2432, 0.5990, 0.0020], [0.0990, 0.2568, 0.0020], [0.9010, 0.7432, 0.0020], [0.7786, 0.3947, 0.3336], [0.2214, 0.6053, 0.3336], [0.1053, 0.2786, 0.3336], [0.8947, 0.7214, 0.3336], [0.7214, 0.1053, 0.6664], [0.2786, 0.8947, 0.6664], [0.3947, 0.2214, 0.6664], [0.6053, 0.7786, 0.6664], [0.7522, 0.4095, 0.6649], [0.2478, 0.5905, 0.6649], [0.0905, 0.2522, 0.6649], [0.9095, 0.7478, 0.6649], [0.5905, 0.2478, 0.8351], [0.4095, 0.7522, 0.8351], [0.2522, 0.0905, 0.8351], [0.7478, 0.9095, 0.8351], [0.5990, 0.2432, 0.4980], [0.4010, 0.7568, 0.4980], [0.2568, 0.0990, 0.4980], [0.7432, 0.9010, 0.4980], [0.9095, 0.2522, 0.1649], [0.0905, 0.7478, 0.1649], [0.2478, 0.4095, 0.1649], [0.7522, 0.5905, 0.1649], [0.7432, 0.0990, 0.9980], [0.2568, 0.9010, 0.9980], [0.4010, 0.2432, 0.9980], [0.5990, 0.7568, 0.9980], [0.8947, 0.2786, 0.8336], [0.1053, 0.7214, 0.8336], [0.2214, 0.3947, 0.8336], [0.7786, 0.6053, 0.8336], [0.7478, 0.0905, 0.3351], [0.2522, 0.9095, 0.3351], [0.4095, 0.2478, 0.3351], [0.5905, 0.7522, 0.3351], [0.9010, 0.2568, 0.5020], [0.0990, 0.7432, 0.5020], [0.2432, 0.4010, 0.5020], [0.7568, 0.5990, 0.5020], [0.6053, 0.2214, 0.1664], [0.3947, 0.7786, 0.1664], [0.2786, 0.1053, 0.1664], [0.7214, 0.8947, 0.1664]], "final_energy_ev_per_cell": -1396.63, "e_form_raw_ev_per_atom": -0.589, "space_group": "P4/ncc, No. 130", "magmom_total_mub_per_fu": 0.00, "vol_a3_per_atom": 22.094}